(1)
The following is a PBE calculation of a relaxed CaHfScO2 crystal, from the Alexandria database.

abc: 4.1548 4.1548 5.8106
angles: 90.00 90.00 90.00
Last column: nearest neighbours and their distance in Å.
Space group P4/mmm (No. 123)
Symmetry-distinct sites (fractional):
Ca  0.0000  0.0000  0.0000 (multiplicity 1)  2 Sc 2.91, 4 Hf 2.94
Hf  0.5000  0.5000  0.0000 (multiplicity 1)  4 Ca 2.94
Sc  0.0000  0.0000  0.5000 (multiplicity 1)  4 O 2.08
O  0.0000  0.5000  0.5000 (multiplicity 2)  2 Sc 2.08

---

(2)
The following is a PBE calculation of a relaxed CaHfSiO5 crystal, from the Alexandria database.

abc: 6.8265 8.9535 7.4392
angles: 90.00 113.75 90.00
Last column: nearest neighbours and their distance in Å.
Space group C2/c (No. 15)
Symmetry-distinct sites (fractional):
Ca  0.0000  0.1674  0.2500 (multiplicity 4)  3 O 2.22-2.44
Hf  0.0000  0.5000  0.0000 (multiplicity 4)  6 O 2.01-2.13
Si  0.0000  0.1786  0.7500 (multiplicity 4)  4 O 1.65-1.66
O  0.0000  0.4154  0.2500 (multiplicity 4)  2 Hf 2.01, 1 Ca 2.22
O  0.1026  0.2853  0.6274 (multiplicity 8)  1 Si 1.66
O  0.1773  0.0637  0.9045 (multiplicity 8)  1 Si 1.65

---

(3)
The following is a PBE calculation of a relaxed Ca2HfSnO6 crystal, from the Alexandria database.

- ΔE to the lowest computed polymorph (meV per atom) = 0

abc: 5.5865 5.7537 9.7585
angles: 90.00 124.83 90.00
Last column: nearest neighbours and their distance in Å.
Space group P2_1/c (No. 14)
Symmetry-distinct sites (fractional):
Ca  0.2357  0.0500  0.2489 (multiplicity 4)  4 O 2.35-2.46
Hf  0.5000  0.0000  0.0000 (multiplicity 2)  6 O 2.08-2.09
Sn  0.0000  0.0000  0.5000 (multiplicity 2)  6 O 2.09-2.10
O  0.1465  0.2015  0.9470 (multiplicity 4)  1 Hf 2.08, 1 Sn 2.09
O  0.2457  0.7031  0.9450 (multiplicity 4)  1 Hf 2.09, 1 Sn 2.09
O  0.3528  0.0375  0.7503 (multiplicity 4)  1 Hf 2.09, 1 Sn 2.10

---

(4)
The following is a PBE calculation of a relaxed Ca2HfSnO6 crystal, from the Alexandria database.

- ΔE to the lowest computed polymorph (meV per atom) = 150

abc: 8.1645 8.1645 8.1645
angles: 90.00 90.00 90.00
Last column: nearest neighbours and their distance in Å.
Space group Fm-3m (No. 225)
Symmetry-distinct sites (fractional):
Ca  0.2500  0.2500  0.2500 (multiplicity 8)  12 O 2.89
Hf  0.0000  0.0000  0.0000 (multiplicity 4)  6 O 2.04
Sn  0.0000  0.0000  0.5000 (multiplicity 4)  6 O 2.04
O  0.0000  0.0000  0.2503 (multiplicity 24)  1 Sn 2.04, 1 Hf 2.04

---

(5)
The following is a PBE calculation of a relaxed SrCa3Hf4O12 crystal, from the Alexandria database.

abc: 5.6461 8.0713 5.7831
angles: 90.00 90.09 90.00
Last column: nearest neighbours and their distance in Å.
Space group Pm (No. 6)
Symmetry-distinct sites (fractional):
Sr  0.0000  0.0000  0.0000 (multiplicity 1)  6 O 2.49-2.75
Ca  0.0201  0.5000  0.9135 (multiplicity 1)  6 O 2.37-2.64
Ca  0.5003  0.5000  0.4221 (multiplicity 1)  4 O 2.36-2.49
Ca  0.5225  0.0000  0.5096 (multiplicity 1)  4 O 2.37-2.46
Hf  0.0090  0.2520  0.4617 (multiplicity 2)  6 O 2.08-2.11
Hf  0.5100  0.2533  0.9644 (multiplicity 2)  6 O 2.08-2.10
O  0.1075  0.0000  0.4465 (multiplicity 1)  2 Hf 2.11
O  0.2094  0.3012  0.1654 (multiplicity 2)  2 Hf 2.09
O  0.3025  0.3054  0.6710 (multiplicity 2)  2 Hf 2.10
O  0.4335  0.0000  0.9255 (multiplicity 1)  2 Hf 2.10
O  0.6106  0.5000  0.0053 (multiplicity 1)  2 Hf 2.08
O  0.7088  0.1987  0.2618 (multiplicity 2)  2 Hf 2.09-2.10
O  0.8006  0.2103  0.7530 (multiplicity 2)  2 Hf 2.08
O  0.9112  0.5000  0.4926 (multiplicity 1)  2 Hf 2.08

---

Number 1: raw formation energy -38 kJ/mol of atoms, theoretical density 4.89 Mg/m³. Number 2: raw formation energy -311 kJ/mol of atoms, theoretical density 5.21 Mg/m³. Number 3: raw formation energy -273 kJ/mol of atoms, theoretical density 6.11 Mg/m³. Number 4: raw formation energy -259 kJ/mol of atoms, theoretical density 5.78 Mg/m³. Number 5: raw formation energy -328 kJ/mol of atoms, theoretical density 7.02 Mg/m³.